Record 1
A geometry-optimized Ca2PrNdAu4 structure. Source: the Alexandria database, functional PBE-GGA.

Cell: 5.2078 5.2078 9.0082 Å, 73.20 73.20 60.00°
Closest atoms and distances in Å follow each position.
Positions (direct):
Au  0.8744  0.8744  0.3767  4 Ca 3.17-3.19, 3 Nd 3.18, 1 Pr 3.20
Au  0.6244  0.6244  0.1267  1 Nd 3.17, 4 Ca 3.18-3.20, 3 Pr 3.19
Au  0.3756  0.3756  0.8733  1 Nd 3.17, 4 Ca 3.18-3.20, 3 Pr 3.19
Au  0.1256  0.1256  0.6233  4 Ca 3.17-3.19, 3 Nd 3.18, 1 Pr 3.20
Nd  0.5000  0.5000  0.5000  8 Au 3.17-3.18
Ca  0.7501  0.7501  0.7497  8 Au 3.17-3.20
Ca  0.2499  0.2499  0.2503  8 Au 3.17-3.20
Pr  0.0000  0.0000  0.0000  8 Au 3.19-3.20

- Total magnetic moment: 0.00 μB per formula unit
- Space-group type: No. 166
- Energy: -33.07 eV for the cell shown
- Density of states at the Fermi level: 0.66 states/eV/atom


Record 2
A geometry-optimized CaNdRuAu structure. Source: the Alexandria database, functional PBE-GGA.

Cell: 5.0464 5.0464 5.0464 Å, 60.00 60.00 60.00°
Closest atoms and distances in Å follow each position.
Positions (direct):
Nd  0.0000  0.0000  0.0000  4 Ru 3.09, 4 Au 3.09
Ca  0.5000  0.5000  0.5000  4 Au 3.09, 4 Ru 3.09
Au  0.7500  0.7500  0.7500  4 Nd 3.09, 4 Ca 3.09
Ru  0.2500  0.2500  0.2500  4 Ca 3.09, 4 Nd 3.09

- Total magnetic moment: 0.00 μB per formula unit
- Space-group type: No. 216
- Energy: -20.50 eV for the cell shown
- Density of states at the Fermi level: 0.68 states/eV/atom


Record 3
A geometry-optimized SrCa2NdAu4 structure. Source: the Alexandria database, functional PBE-GGA.

Cell: 5.2468 5.2468 9.1078 Å, 73.26 73.26 60.00°
Closest atoms and distances in Å follow each position.
Positions (direct):
Nd  0.5000  0.5000  0.5000  8 Au 3.10-3.17
Au  0.1303  0.1303  0.6090  4 Ca 3.10-3.27, 3 Nd 3.17, 1 Sr 3.36
Au  0.3796  0.3796  0.8613  1 Nd 3.10, 4 Ca 3.17-3.32, 3 Sr 3.26
Au  0.6204  0.6204  0.1387  1 Nd 3.10, 4 Ca 3.17-3.32, 3 Sr 3.26
Au  0.8697  0.8697  0.3910  4 Ca 3.10-3.27, 3 Nd 3.17, 1 Sr 3.36
Sr  0.0000  0.0000  0.0000  8 Au 3.26-3.36
Ca  0.7492  0.7492  0.7523  8 Au 3.10-3.32
Ca  0.2508  0.2508  0.2477  8 Au 3.10-3.32

- Total magnetic moment: 0.00 μB per formula unit
- Space-group type: No. 166
- Energy: -29.78 eV for the cell shown
- Density of states at the Fermi level: 0.68 states/eV/atom


Record 4
A geometry-optimized CaTb2NdAu4 structure. Source: the Alexandria database, functional PBE-GGA.

Cell: 5.1523 5.1523 8.9338 Å, 73.24 73.24 60.00°
Closest atoms and distances in Å follow each position.
Positions (direct):
Tb  0.7528  0.7528  0.7417  8 Au 3.12-3.19
Tb  0.2472  0.2472  0.2583  8 Au 3.12-3.19
Au  0.8766  0.8766  0.3701  1 Nd 3.12, 4 Tb 3.12-3.13, 3 Ca 3.17
Au  0.1234  0.1234  0.6299  1 Nd 3.12, 4 Tb 3.12-3.13, 3 Ca 3.17
Au  0.3735  0.3735  0.8796  3 Nd 3.14, 4 Tb 3.19, 1 Ca 3.20
Au  0.6265  0.6265  0.1204  3 Nd 3.14, 4 Tb 3.19, 1 Ca 3.20
Ca  0.5000  0.5000  0.5000  8 Au 3.17-3.20
Nd  0.0000  0.0000  0.0000  8 Au 3.12-3.14

- Total magnetic moment: 0.00 μB per formula unit
- Space-group type: No. 166
- Energy: -35.61 eV for the cell shown
- Density of states at the Fermi level: 0.62 states/eV/atom